Entry 1:
Material: NdPuIr
Method: DFT, PBE-GGA
State: relaxed

Lattice parameters (Å, degrees): 8.7489 8.7489 8.7489 113.97 86.84 130.46
Closest atoms and distances in Å follow each position.
Positions (direct):
Nd (0.9999, 0.2500, 0.2499)  5 Ir 3.06-3.25, 2 Pu 3.41
Nd (0.0001, 0.7500, 0.7501)  5 Ir 3.06-3.25, 2 Pu 3.41
Nd (0.1663, 0.1246, 0.5417)  5 Ir 3.06-3.25, 2 Pu 3.41
Nd (0.1656, 0.6243, 0.0413)  5 Ir 3.05-3.24, 2 Pu 3.41
Nd (0.5830, 0.1243, 0.9587)  5 Ir 3.05-3.24, 2 Pu 3.41
Nd (0.5830, 0.6246, 0.4583)  5 Ir 3.06-3.25, 2 Pu 3.41
Pu (0.3325, 0.3325, 0.0000)  4 Ir 2.80-3.00
Pu (0.3325, 0.8325, 0.5000)  4 Ir 2.80-3.00
Pu (0.5833, 0.2087, 0.3752)  4 Ir 2.80-3.01
Pu (0.5833, 0.7081, 0.8746)  4 Ir 2.80-3.01
Pu (0.8335, 0.2081, 0.6248)  4 Ir 2.80-3.01
Pu (0.8335, 0.7087, 0.1254)  4 Ir 2.80-3.01
Ir (0.2499, 0.0831, 0.1669)  3 Pu 2.80
Ir (0.2499, 0.5830, 0.6668)  3 Pu 2.80
Ir (0.5814, 0.8321, 0.2493)  6 Pu 3.00-3.01, 3 Nd 3.05-3.06
Ir (0.5828, 0.3321, 0.7507)  6 Pu 3.00-3.01, 3 Nd 3.05-3.06
Ir (0.9162, 0.0830, 0.8331)  3 Pu 2.80
Ir (0.9162, 0.5831, 0.3332)  3 Pu 2.80

Formation energy in meV/atom: -485

Entry 2:
Material: LiGa7Ag3
Method: DFT, PBE-GGA
State: relaxed

Lattice parameters (Å, degrees): 6.5600 6.5600 5.5043 110.15 110.15 79.83
Closest atoms and distances in Å follow each position.
Positions (direct):
Li (0.0000, 0.0000, 0.0000)  2 Ga 2.45
Ga (0.0000, 0.0000, 0.5000)  2 Ag 2.73, 2 Li 2.75, 2 Ga 2.89
Ga (0.0653, 0.5560, 0.7634)  3 Ga 2.59-2.76, 2 Ag 2.71-2.87, 1 Li 2.77
Ga (0.2508, 0.2508, 0.0332)  1 Li 2.45, 1 Ag 2.59, 2 Ga 2.62
Ga (0.4440, 0.9347, 0.2366)  3 Ga 2.59-2.76, 2 Ag 2.71-2.87, 1 Li 2.77
Ga (0.5560, 0.0653, 0.7634)  3 Ga 2.59-2.76, 2 Ag 2.71-2.87, 1 Li 2.77
Ga (0.7492, 0.7492, 0.9668)  1 Li 2.45, 1 Ag 2.59, 2 Ga 2.62
Ga (0.9347, 0.4440, 0.2366)  3 Ga 2.59-2.76, 2 Ag 2.71-2.87, 1 Li 2.77
Ag (0.3247, 0.6753, 0.5000)  7 Ga 2.73-3.05, 1 Ag 2.95
Ag (0.5000, 0.5000, 0.0000)  6 Ga 2.59-2.71
Ag (0.6753, 0.3247, 0.5000)  7 Ga 2.73-3.05, 1 Ag 2.95

Formation energy in meV/atom: 32

Entry 3:
Material: LiLaP2Rh
Method: DFT, PBE-GGA
State: relaxed

Lattice parameters (Å, degrees): 5.8050 5.8050 5.8050 138.83 138.83 59.64
Closest atoms and distances in Å follow each position.
Positions (direct):
Li (0.0000, 0.0000, 0.0000)  4 P 2.44
La (0.7500, 0.2500, 0.5000)  8 P 3.12, 4 Li 3.24, 4 Rh 3.24
P (0.1332, 0.6332, 0.5000)  1 P 2.35, 2 Li 2.44, 2 Rh 2.44
P (0.3668, 0.8668, 0.5000)  1 P 2.35, 2 Li 2.44, 2 Rh 2.44
Rh (0.5000, 0.5000, 0.0000)  4 P 2.44

Formation energy in meV/atom: -1089

Entry 4:
Material: PuPa2Se3
Method: DFT, PBE-GGA
State: relaxed

Lattice parameters (Å, degrees): 8.4209 8.4209 5.9171 90.00 90.00 129.68
Closest atoms and distances in Å follow each position.
Positions (direct):
Pu (0.2011, 0.7989, 0.7500)  2 Se 2.84
Pu (0.7989, 0.2011, 0.2500)  2 Se 2.84
Pa (0.1902, 0.1902, 0.0000)  3 Pa 2.72-2.96, 4 Se 2.91-2.93
Pa (0.1902, 0.1902, 0.5000)  3 Pa 2.72-2.96, 4 Se 2.91-2.93
Pa (0.8098, 0.8098, 0.0000)  3 Pa 2.72-2.96, 4 Se 2.91-2.93
Pa (0.8098, 0.8098, 0.5000)  3 Pa 2.72-2.96, 4 Se 2.91-2.93
Se (0.0578, 0.3881, 0.7500)  1 Pu 2.84, 2 Pa 2.93
Se (0.3881, 0.0578, 0.2500)  1 Pu 2.84, 2 Pa 2.93
Se (0.4233, 0.5767, 0.2500)  4 Pa 2.91
Se (0.5767, 0.4233, 0.7500)  4 Pa 2.91
Se (0.6119, 0.9422, 0.7500)  1 Pu 2.84, 2 Pa 2.93
Se (0.9422, 0.6119, 0.2500)  1 Pu 2.84, 2 Pa 2.93

Formation energy without anion corrections in meV/atom: -783

Entry 5:
Material: TlP2PdO
Method: DFT, PBE-GGA
State: relaxed

Lattice parameters (Å, degrees): 5.1580 5.1580 4.0336 90.00 90.00 90.00
Closest atoms and distances in Å follow each position.
Positions (direct):
Tl (0.0000, 0.0000, 0.0000)  2 O 2.02
P (0.0000, 0.5000, 0.0000)  2 Tl 2.58
P (0.5000, 0.0000, 0.0000)  2 Tl 2.58
Pd (0.5000, 0.5000, 0.5000)  8 P 3.27, 4 O 3.65
O (0.0000, 0.0000, 0.5000)  2 Tl 2.02

Formation energy without anion corrections in meV/atom: 1173

Entry 6:
Material: Hf2ZrPH
Method: DFT, PBE-GGA
State: relaxed

Lattice parameters (Å, degrees): 5.1922 5.1922 4.8467 90.00 90.00 90.00
Closest atoms and distances in Å follow each position.
Positions (direct):
Hf (0.0000, 0.5000, 0.0000)  2 Zr 2.60
Hf (0.5000, 0.0000, 0.0000)  2 Zr 2.60
Zr (0.0000, 0.0000, 0.0000)  2 P 2.42, 4 Hf 2.60
P (0.0000, 0.0000, 0.5000)  2 Zr 2.42
H (0.5000, 0.5000, 0.5000)  8 Hf 3.55, 4 P 3.67

Total energy in eV/atom: -6.039